[1]
Entry from Alexandria via LeMat-Bulk: a geometry-optimized Nd3Dy5Ho3 structure (PBE-GGA).

abc: 5.421 9.668 9.668
angles: 120.00 90.00 90.00
Positions (direct):
Dy  0.500  0.266  0.266
Dy  0.500  0.333  0.667
Dy  0.500  0.734  0.000
Dy  0.500  0.000  0.734
Dy  0.500  0.667  0.333
Nd  0.500  0.364  0.000
Nd  0.500  0.636  0.636
Nd  0.500  0.000  0.364
Ho  0.000  0.456  0.456
Ho  0.000  0.000  0.544
Ho  0.000  0.544  0.000

Values from the calculation:
**Space-group type**: No. 189
**ΔE_f**: 0.807 eV/atom
**Total energy**: -3.83 eV per atom



[2]
Entry from Alexandria via LeMat-Bulk: a geometry-optimized NaScBiPb structure (PBE-GGA).

abc: 5.339 5.339 5.339
angles: 60.00 60.00 60.00
Each line ends with the local moment (μB).
Positions (direct):
Pb  0.000  0.000  0.000  0.03
Bi  0.500  0.500  0.500  0.03
Na  0.250  0.250  0.250  0.00
Sc  0.750  0.750  0.750  0.16

Values from the calculation:
**Space-group type**: No. 216
**ΔE_f**: -0.217 eV/atom
**Total energy**: -4.03 eV per atom



[3]
Entry from Alexandria via LeMat-Bulk: a geometry-optimized SrSbS2 structure (PBE-GGA).

abc: 4.340 4.340 7.021
angles: 71.99 71.99 60.00
Positions (direct):
Sb  0.673  0.673  0.982
Sr  0.501  0.501  0.498
S  0.257  0.257  0.229
S  0.070  0.070  0.790

Values from the calculation:
**Formation energy without anion corrections**: -320 kJ/mol of formula units
**Space-group type**: No. 160
**Total energy**: -4.34 eV per atom



[4]
Entry from Alexandria via LeMat-Bulk: a geometry-optimized LiAlF3 structure (PBE-GGA).

abc: 3.055 5.014 7.952
angles: 108.38 90.00 90.00
Positions (direct):
Al  0.250  0.764  0.165
Al  0.750  0.599  0.835
Li  0.250  0.032  0.623
Li  0.750  0.410  0.377
F  0.750  0.521  0.156
F  0.750  0.860  0.726
F  0.250  0.365  0.844
F  0.250  0.134  0.274
F  0.750  0.339  0.604
F  0.250  0.735  0.396

Values from the calculation:
**Formation energy without anion corrections**: -1351 kJ/mol of formula units
**Space-group type**: No. 40
**Total energy**: -5.06 eV per atom
**Distance to the lowest polymorph of the same formula**: 0 meV per atom



[5]
Entry from Alexandria via LeMat-Bulk: a geometry-optimized AgAs2Se structure (PBE-GGA).

abc: 3.846 2.783 7.616
angles: 89.79 90.00 90.00
Positions (direct):
As  0.000  0.252  0.980
As  0.000  0.248  0.520
Ag  0.500  0.750  0.750
Se  0.500  0.250  0.250

Values from the calculation:
**Formation energy without anion corrections**: 68 kJ/mol of formula units
**Space-group type**: No. 10
**Total energy**: -3.73 eV per atom



[6]
Entry from Alexandria via LeMat-Bulk: a geometry-optimized LiDy4Pd3 structure (PBE-GGA).

abc: 3.743 4.617 10.601
angles: 90.00 90.00 90.00
Positions (direct):
Pd  0.000  0.000  0.414
Pd  0.500  0.000  0.926
Pd  0.000  0.500  0.587
Dy  0.500  0.500  0.371
Dy  0.000  0.000  0.141
Dy  0.000  0.500  0.851
Dy  0.500  0.000  0.638
Li  0.500  0.500  0.071

Values from the calculation:
**Space-group type**: No. 25
**ΔE_f**: -0.654 eV/atom
**Total energy**: -5.14 eV per atom



[7]
Entry from Alexandria via LeMat-Bulk: a geometry-optimized Pm3InRh2 structure (PBE-GGA).

abc: 3.600 3.600 11.146
angles: 90.00 90.00 90.00
Positions (direct):
Pm  0.000  0.000  0.304
Pm  0.000  0.000  0.696
Pm  0.000  0.000  0.000
Rh  0.500  0.500  0.156
Rh  0.500  0.500  0.844
In  0.500  0.500  0.500

Values from the calculation:
**Space-group type**: No. 123
**ΔE_f**: -0.613 eV/atom
**Total energy**: -5.90 eV per atom
**Distance to the lowest polymorph of the same formula**: 0 meV per atom



[8]
Entry from Alexandria via LeMat-Bulk: a geometry-optimized BaAcSn structure (PBE-GGA).

abc: 7.674 4.922 13.944
angles: 90.00 90.00 90.00
Positions (direct):
Sn  0.250  0.000  0.394
Sn  0.750  0.500  0.106
Sn  0.250  0.500  0.894
Sn  0.750  0.000  0.606
Ac  0.000  0.000  0.000
Ac  0.500  0.000  0.000
Ac  0.500  0.500  0.500
Ac  0.000  0.500  0.500
Ba  0.250  0.500  0.207
Ba  0.750  0.000  0.293
Ba  0.250  0.000  0.707
Ba  0.750  0.500  0.793

Values from the calculation:
**Space-group type**: No. 63
**ΔE_f**: -0.511 eV/atom
**Total energy**: -3.86 eV per atom
**Distance to the lowest polymorph of the same formula**: 22 meV per atom



[9]
Entry from Alexandria via LeMat-Bulk: a geometry-optimized LaSIN2 structure (PBE-GGA).

abc: 4.263 4.263 6.452
angles: 90.00 90.00 90.00
Each line ends with the local moment (μB).
Positions (direct):
La  0.000  0.000  0.000  0.01
N  0.500  0.000  0.000  0.08
N  0.000  0.500  0.000  0.08
S  0.000  0.000  0.500  0.00
I  0.500  0.500  0.500  0.01

Values from the calculation:
**Formation energy without anion corrections**: 407 kJ/mol of formula units
**Space-group type**: No. 123
**Total energy**: -4.61 eV per atom
**Distance to the lowest polymorph of the same formula**: 299 meV per atom



[10]
Entry from Alexandria via LeMat-Bulk: a geometry-optimized PmNpCuS4 structure (PBE-GGA).

abc: 6.338 6.293 7.651
angles: 90.00 107.12 90.00
Each line ends with the local moment (μB).
Positions (direct):
S  0.982  0.012  0.257  -0.11
S  0.548  0.250  0.390  -0.10
S  0.442  0.750  0.121  -0.07
S  0.982  0.488  0.257  -0.11
S  0.558  0.250  0.879  -0.07
S  0.452  0.750  0.610  -0.10
S  0.018  0.512  0.743  -0.11
S  0.018  0.988  0.743  -0.11
Cu  0.241  0.750  0.320  -0.12
Cu  0.759  0.250  0.680  -0.12
Pm  0.237  0.250  0.056  0.02
Pm  0.763  0.750  0.944  0.02
Np  0.772  0.750  0.444  3.45
Np  0.228  0.250  0.556  3.45

Values from the calculation:
**Formation energy without anion corrections**: -861 kJ/mol of formula units
**Space-group type**: No. 11
**Total energy**: -6.75 eV per atom



[11]
Entry from Alexandria via LeMat-Bulk: a geometry-optimized Sr3Tm2UAs6 structure (PBE-GGA).

abc: 7.282 7.282 7.530
angles: 99.27 99.27 120.00
Positions (direct):
As  0.607  0.928  0.784
As  0.072  0.393  0.216
As  0.249  0.249  0.784
As  0.393  0.072  0.216
As  0.751  0.751  0.216
As  0.928  0.607  0.784
Tm  0.666  0.334  0.000
Tm  0.334  0.666  0.000
U  0.000  0.000  0.000
Sr  0.830  0.170  0.500
Sr  0.500  0.500  0.500
Sr  0.170  0.830  0.500

Values from the calculation:
**Space-group type**: No. 12
**ΔE_f**: -1.198 eV/atom
**Total energy**: -5.63 eV per atom



[12]
Entry from Alexandria via LeMat-Bulk: a geometry-optimized ZrTa2Tc structure (PBE-GGA).

abc: 4.567 3.010 5.428
angles: 77.12 90.00 90.00
Positions (direct):
Ta  0.000  0.033  0.015
Ta  0.000  0.467  0.485
Zr  0.500  0.750  0.750
Tc  0.500  0.250  0.250

Values from the calculation:
**Space-group type**: No. 10
**ΔE_f**: -0.087 eV/atom
**Total energy**: -10.74 eV per atom
**Distance to the lowest polymorph of the same formula**: 125 meV per atom